Record 1
Sc2CrCl: relaxed, GGA-PBE.

Unit cell a=9.5110 b=9.5110 c=9.5110 alpha=19.90 beta=19.90 gamma=19.90
Element x y z (fractional)
Cl1 0.5101 0.5101 0.5101
Cr1 0.7476 0.7476 0.7476
Sc1 0.0011 0.0011 0.0011
Sc2 0.2412 0.2412 0.2412

Output
M_tot = 4.18 μB/f.u.
Relative energy among the computed polymorphs = 0.243 eV/atom
Uncorrected formation energy = -221 meV/atom
Symmetry = R3m (160)
Electronic total energy = -6.2546 eV/atom

---

Record 2
ScCrCl2: relaxed, GGA-PBE.

Unit cell a=5.5567 b=5.3679 c=3.4841 alpha=68.86 beta=93.99 gamma=122.70
Element x y z (fractional)
Sc1 0.5000 0.5000 0.0000
Cr1 0.0000 0.5000 0.5000
Cl1 0.0000 0.0000 0.0000
Cl2 0.5000 0.0000 0.5000

Output
M_tot = 3.64 μB/f.u.
Relative energy among the computed polymorphs = 0.303 eV/atom
Uncorrected formation energy = -512 meV/atom
Symmetry = C2/m (12)
Electronic total energy = -5.4245 eV/atom

---

Record 3
ScCrCl2: relaxed, GGA-PBE.

Unit cell a=8.4487 b=8.4487 c=8.4487 alpha=24.72 beta=24.72 gamma=24.72
Element x y z (fractional)
Sc1 0.0000 0.0000 0.0000
Cr1 0.5000 0.5000 0.5000
Cl1 0.8970 0.8970 0.8970
Cl2 0.1030 0.1030 0.1030

Output
M_tot = 5.05 μB/f.u.
Relative energy among the computed polymorphs = 0.306 eV/atom
Uncorrected formation energy = -509 meV/atom
Symmetry = R-3m (166)
Electronic total energy = -5.4208 eV/atom

---

Record 4
Sc2CrCl: relaxed, GGA-PBE.

Unit cell a=8.3788 b=8.3788 c=8.3788 alpha=22.56 beta=22.56 gamma=22.56
Element x y z (fractional)
Cl1 0.2500 0.2500 0.2500
Cr1 0.7500 0.7500 0.7500
Sc1 0.0010 0.0010 0.0010
Sc2 0.4990 0.4990 0.4990

Output
M_tot = 1.93 μB/f.u.
Relative energy among the computed polymorphs = 0.095 eV/atom
Uncorrected formation energy = -369 meV/atom
Symmetry = R-3m (166)
Electronic total energy = -6.4027 eV/atom

---

Record 5
Sc2CrCl: relaxed, GGA-PBE.

Unit cell a=5.2949 b=5.2949 c=4.6910 alpha=96.18 beta=96.18 gamma=34.95
Element x y z (fractional)
Cl1 0.4679 0.4679 0.5781
Cr1 0.2784 0.2784 0.1565
Sc1 0.0192 0.0192 0.1069
Sc2 0.7345 0.7345 0.6586

Output
M_tot = 2.09 μB/f.u.
Relative energy among the computed polymorphs = 0.237 eV/atom
Uncorrected formation energy = -227 meV/atom
Symmetry = Cm (8)
Electronic total energy = -6.2603 eV/atom

---

Record 6
Sc2CrCl: relaxed, GGA-PBE.

Unit cell a=6.0530 b=6.0530 c=6.0530 alpha=142.97 beta=142.97 gamma=53.37
Element x y z (fractional)
Cl1 0.5000 0.5000 0.0000
Cr1 0.7500 0.2500 0.5000
Sc1 0.0000 0.0000 0.0000
Sc2 0.2500 0.7500 0.5000

Output
M_tot = 3.28 μB/f.u.
Relative energy among the computed polymorphs = 0.553 eV/atom
Uncorrected formation energy = 89 meV/atom
Symmetry = I-4m2 (119)
Electronic total energy = -5.9443 eV/atom

---

Record 7
Sc2CrCl: relaxed, GGA-PBE.

Unit cell a=3.1830 b=3.1830 c=7.6137 alpha=90.00 beta=90.00 gamma=90.16
Element x y z (fractional)
Cl1 0.5000 0.5000 0.2500
Cr1 0.5000 0.5000 0.7500
Sc1 0.0000 0.0000 0.9686
Sc2 0.0000 0.0000 0.5314

Output
M_tot = 1.86 μB/f.u.
Relative energy among the computed polymorphs = 0.095 eV/atom
Uncorrected formation energy = -369 meV/atom
Symmetry = Cmmm (65)
Electronic total energy = -6.4025 eV/atom

---

Record 8
ScCrCl2: relaxed, GGA-PBE.

Unit cell a=3.5255 b=3.6014 c=6.5550 alpha=73.79 beta=90.00 gamma=90.00
Element x y z (fractional)
Sc1 0.5000 0.6634 0.7996
Cr1 0.0000 0.2998 0.5301
Cl1 0.0000 0.1036 0.9173
Cl2 0.5000 0.4333 0.2530

Output
M_tot = 3.00 μB/f.u.
Relative energy among the computed polymorphs = 0.114 eV/atom
Uncorrected formation energy = -701 meV/atom
Symmetry = Pm (6)
Electronic total energy = -5.6129 eV/atom

---

Record 9
Sc2CrCl: relaxed, GGA-PBE.

Unit cell a=3.1828 b=3.1828 c=9.0807 alpha=90.00 beta=90.00 gamma=90.00
Element x y z (fractional)
Cl1 0.0000 0.0000 0.4397
Cr1 0.5000 0.5000 0.7901
Sc1 0.0000 0.0000 0.0003
Sc2 0.5000 0.5000 0.2698

Output
M_tot = 3.99 μB/f.u.
Relative energy among the computed polymorphs = 0.316 eV/atom
Uncorrected formation energy = -149 meV/atom
Symmetry = P4mm (99)
Electronic total energy = -6.1821 eV/atom

---

Record 10
ScCrCl2: relaxed, GGA-PBE.

Unit cell a=4.5955 b=4.5955 c=4.5955 alpha=60.00 beta=60.00 gamma=60.00
Element x y z (fractional)
Sc1 0.0000 0.0000 0.0000
Cr1 0.5000 0.5000 0.5000
Cl1 0.2500 0.2500 0.2500
Cl2 0.7500 0.7500 0.7500

Output
M_tot = 3.08 μB/f.u.
Relative energy among the computed polymorphs = 0.433 eV/atom
Uncorrected formation energy = -382 meV/atom
Symmetry = Fm-3m (225)
Electronic total energy = -5.2939 eV/atom

---

Record 11
Sc2CrCl: relaxed, GGA-PBE.

Unit cell a=8.0664 b=8.0664 c=8.0664 alpha=157.55 beta=156.55 gamma=32.69
Element x y z (fractional)
Cl1 0.5507 0.5507 0.0000
Cr1 0.3054 0.8054 0.5000
Sc1 0.9398 0.9398 0.0000
Sc2 0.7040 0.2040 0.5000

Output
M_tot = 2.09 μB/f.u.
Relative energy among the computed polymorphs = 0.209 eV/atom
Uncorrected formation energy = -256 meV/atom
Symmetry = Imm2 (44)
Electronic total energy = -6.2891 eV/atom

---

Record 12
ScCrCl2: relaxed, GGA-PBE.

Unit cell a=6.5288 b=6.5288 c=4.8668 alpha=86.14 beta=86.14 gamma=29.45
Element x y z (fractional)
Sc1 0.7500 0.7500 0.7500
Cr1 0.2500 0.2500 0.2500
Cl1 0.1079 0.1079 0.9670
Cl2 0.3921 0.3921 0.5330

Output
M_tot = 3.11 μB/f.u.
Relative energy among the computed polymorphs = 0.095 eV/atom
Uncorrected formation energy = -720 meV/atom
Symmetry = C2/m (12)
Electronic total energy = -5.6322 eV/atom

---

Record 13
ScCrCl2: relaxed, GGA-PBE.

Unit cell a=4.1516 b=3.4844 c=5.5664 alpha=93.68 beta=90.00 gamma=90.00
Element x y z (fractional)
Sc1 0.5000 0.7500 0.7500
Cr1 0.5000 0.2500 0.2500
Cl1 0.0000 0.0052 0.0038
Cl2 0.0000 0.4948 0.4962

Output
M_tot = 3.30 μB/f.u.
Relative energy among the computed polymorphs = 0.328 eV/atom
Uncorrected formation energy = -487 meV/atom
Symmetry = P2/m (10)
Electronic total energy = -5.3989 eV/atom

---

Record 14
ScCrCl2: relaxed, GGA-PBE.

Unit cell a=5.7687 b=5.7687 c=6.0989 alpha=109.19 beta=109.19 gamma=33.14
Element x y z (fractional)
Sc1 0.7437 0.7437 0.9005
Cr1 0.3058 0.3058 0.5405
Cl1 0.0638 0.0638 0.8556
Cl2 0.3866 0.3866 0.2034

Output
M_tot = 4.75 μB/f.u.
Relative energy among the computed polymorphs = 0.117 eV/atom
Uncorrected formation energy = -698 meV/atom
Symmetry = Cm (8)
Electronic total energy = -5.6099 eV/atom

---

Record 15
ScCrCl2: relaxed, GGA-PBE.

Unit cell a=3.1603 b=3.1603 c=10.2355 alpha=90.00 beta=90.00 gamma=90.00
Element x y z (fractional)
Sc1 0.5000 0.5000 0.7500
Cr1 0.5000 0.5000 0.2500
Cl1 0.0000 0.0000 0.8997
Cl2 0.0000 0.0000 0.6003

Output
M_tot = 5.05 μB/f.u.
Relative energy among the computed polymorphs = 0.242 eV/atom
Uncorrected formation energy = -573 meV/atom
Symmetry = P4/mmm (123)
Electronic total energy = -5.4849 eV/atom

---

Record 16
ScCrCl2: relaxed, GGA-PBE.

Unit cell a=4.5086 b=4.5086 c=8.6425 alpha=74.88 beta=74.88 gamma=90.00
Element x y z (fractional)
Sc1 0.5000 0.5000 0.0000
Sc2 0.2500 0.7500 0.5000
Cr1 0.0000 0.0000 0.0000
Cr2 0.7500 0.2500 0.5000
Cl1 0.6331 0.1250 0.2500
Cl2 0.1169 0.6250 0.2500
Cl3 0.3750 0.3669 0.7500
Cl4 0.8750 0.8831 0.7500

Output
M_tot = 3.07 μB/f.u.
Relative energy among the computed polymorphs = 0.322 eV/atom
Uncorrected formation energy = -493 meV/atom
Symmetry = I-42d (122)
Electronic total energy = -5.4049 eV/atom

---

Record 17
Sc2CrCl: relaxed, GGA-PBE.

Unit cell a=5.1629 b=5.1629 c=5.1629 alpha=128.85 beta=128.85 gamma=75.25
Element x y z (fractional)
Cl1 0.2500 0.7500 0.5000
Cr1 0.7500 0.2500 0.5000
Sc1 0.0000 0.0000 0.0000
Sc2 0.5000 0.5000 0.0000

Output
M_tot = 3.28 μB/f.u.
Relative energy among the computed polymorphs = 0.593 eV/atom
Uncorrected formation energy = 128 meV/atom
Symmetry = I4/mmm (139)
Electronic total energy = -5.9051 eV/atom

---

Record 18
ScCrCl2: relaxed, GGA-PBE.

Unit cell a=4.8801 b=4.8801 c=4.8801 alpha=60.00 beta=60.00 gamma=60.00
Element x y z (fractional)
Sc1 0.7500 0.7500 0.7500
Cr1 0.5000 0.5000 0.5000
Cl1 0.0000 0.0000 0.0000
Cl2 0.2500 0.2500 0.2500

Output
M_tot = 4.99 μB/f.u.
Relative energy among the computed polymorphs = 0.763 eV/atom
Uncorrected formation energy = -52 meV/atom
Symmetry = F-43m (216)
Electronic total energy = -4.9637 eV/atom

---

Record 19
Sc2CrCl: relaxed, GGA-PBE.

Unit cell a=3.2139 b=3.2139 c=9.1861 alpha=90.00 beta=90.00 gamma=112.91
Element x y z (fractional)
Cl1 0.0000 0.0000 0.4747
Cr1 0.5000 0.5000 0.7585
Sc1 0.0000 0.0000 0.9962
Sc2 0.5000 0.5000 0.2706

Output
M_tot = 4.14 μB/f.u.
Relative energy among the computed polymorphs = 0.319 eV/atom
Uncorrected formation energy = -145 meV/atom
Symmetry = Cmm2 (35)
Electronic total energy = -6.1786 eV/atom

---

Record 20
ScCrCl2: relaxed, GGA-PBE.

Unit cell a=4.5432 b=4.5432 c=3.4105 alpha=90.00 beta=90.00 gamma=90.00
Element x y z (fractional)
Sc1 0.0000 0.5000 0.5000
Cr1 0.5000 0.0000 0.5000
Cl1 0.0000 0.0000 0.0000
Cl2 0.5000 0.5000 0.0000

Output
M_tot = 3.84 μB/f.u.
Relative energy among the computed polymorphs = 0.443 eV/atom
Uncorrected formation energy = -372 meV/atom
Symmetry = P4/mmm (123)
Electronic total energy = -5.2843 eV/atom